Model 1:
This record from the Alexandria database describes a relaxed Cu2SbO5 crystal. The functional is PBE-GGA.

Geometry as POSCAR:
```
Cu2SbO5
1.0
5.7904 -1.8375 0.0000
5.7904 1.8375 0.0000
-0.6072 0.0000 5.8981
Cu Sb O
2 1 5
Direct
0.0000 0.0000 0.0000 Cu
0.1492 0.1492 0.5591 Cu
0.8463 0.8463 0.4567 Sb
0.3142 0.3142 0.5730 O
0.5326 0.5326 0.0156 O
0.6742 0.6742 0.5051 O
0.8541 0.8541 0.1417 O
0.9962 0.9962 0.6360 O
```

Values from the calculation:
**Total magnetic moment**: 1.8 μB per cell

---

Model 2:
This record from the Alexandria database describes a relaxed Cu2SbO5 crystal. The functional is PBE-GGA.

Geometry as POSCAR:
```
Cu2SbO5
1.0
1.9660 -5.2182 0.0000
1.9660 5.2182 0.0000
0.0000 0.0000 9.6656
Cu Sb O
4 2 10
Direct
0.1335 0.8665 0.5747 Cu
0.1335 0.8665 0.9253 Cu
0.8665 0.1335 0.0747 Cu
0.8665 0.1335 0.4253 Cu
0.2037 0.7963 0.2500 Sb
0.7963 0.2037 0.7500 Sb
0.0692 0.9308 0.1096 O
0.0692 0.9308 0.3904 O
0.2314 0.7686 0.7500 O
0.3305 0.6695 0.0890 O
0.3305 0.6695 0.4110 O
0.6695 0.3305 0.5890 O
0.6695 0.3305 0.9110 O
0.7686 0.2314 0.2500 O
0.9308 0.0692 0.6096 O
0.9308 0.0692 0.8904 O
```

Values from the calculation:
**Total magnetic moment**: 0.0 μB per cell

---

Taking the most stable structure as the zero point, the relative energies in eV/atom are model 1 0.169; model 2 0.000.

---

Model 1:
This record from the Alexandria database describes a relaxed Cu2SbO crystal. The functional is PBE-GGA.

Geometry as POSCAR:
```
Cu2SbO
1.0
0.0000 3.0714 3.0714
3.0714 0.0000 3.0714
3.0714 3.0714 0.0000
Cu Sb O
2 1 1
Direct
0.2500 0.2500 0.2500 Cu
0.7500 0.7500 0.7500 Cu
0.0000 0.0000 0.0000 Sb
0.5000 0.5000 0.5000 O
```

Values from the calculation:
**Total magnetic moment**: 0.0 μB per cell

---

Model 2:
This record from the Alexandria database describes a relaxed Cu2SbO crystal. The functional is PBE-GGA.

Geometry as POSCAR:
```
Cu2SbO
1.0
-2.8470 2.8470 4.0471
2.8470 -2.8470 4.0471
2.8470 2.8470 -4.0471
Cu Sb O
4 2 2
Direct
0.0269 0.6250 0.9019 Cu
0.3750 0.2769 0.4019 Cu
0.7231 0.1250 0.0981 Cu
0.8750 0.9731 0.5981 Cu
0.2500 0.7500 0.5000 Sb
0.5000 0.5000 0.0000 Sb
0.0000 0.0000 0.0000 O
0.7500 0.2500 0.5000 O
```

Values from the calculation:
**Total magnetic moment**: 0.0 μB per cell

---

Taking the most stable structure as the zero point, the relative energies in eV/atom are model 1 0.578; model 2 0.000.

---

Model 1:
This record from the Alexandria database describes a relaxed ScCu3O crystal. The functional is PBE-GGA.

Geometry as POSCAR:
```
ScCu3O
1.0
4.1190 0.0000 0.0000
0.0000 4.1190 0.0000
0.0000 0.0000 4.1190
Sc Cu O
1 3 1
Direct
0.0000 0.0000 0.0000 Sc
0.0000 0.5000 0.5000 Cu
0.5000 0.0000 0.5000 Cu
0.5000 0.5000 0.0000 Cu
0.5000 0.5000 0.5000 O
```

Values from the calculation:
**Total magnetic moment**: 0.0 μB per cell

---

Model 2:
This record from the Alexandria database describes a relaxed ScCu3O crystal. The functional is PBE-GGA.

Geometry as POSCAR:
```
ScCu3O
1.0
4.7863 0.0000 0.0000
0.0000 4.7863 0.0000
0.0000 0.0000 4.7863
Sc Cu O
1 3 1
Direct
0.0000 0.0000 0.0000 Sc
0.0000 0.0000 0.5000 Cu
0.0000 0.5000 0.0000 Cu
0.5000 0.0000 0.0000 Cu
0.5000 0.5000 0.5000 O
```

Values from the calculation:
**Total magnetic moment**: 0.0 μB per cell

---

Taking the most stable structure as the zero point, the relative energies in eV/atom are model 1 0.000; model 2 1.657.

---

Model 1:
This record from the Alexandria database describes a relaxed CuSi3O crystal. The functional is PBE-GGA.

Geometry as POSCAR:
```
CuSi3O
1.0
4.1140 0.0000 0.0000
0.0000 4.1140 0.0000
0.0000 0.0000 4.1140
Cu Si O
1 3 1
Direct
0.0000 0.0000 0.0000 Cu
0.0000 0.5000 0.5000 Si
0.5000 0.0000 0.5000 Si
0.5000 0.5000 0.0000 Si
0.5000 0.5000 0.5000 O
```

Values from the calculation:
**Total magnetic moment**: 0.0 μB per cell

---

Model 2:
This record from the Alexandria database describes a relaxed CuSi3O crystal. The functional is PBE-GGA.

Geometry as POSCAR:
```
CuSi3O
1.0
4.4281 0.0000 0.0000
0.0000 4.4281 0.0000
0.0000 0.0000 4.4281
Cu Si O
1 3 1
Direct
0.0000 0.0000 0.0000 Cu
0.0000 0.0000 0.5000 Si
0.0000 0.5000 0.0000 Si
0.5000 0.0000 0.0000 Si
0.5000 0.5000 0.5000 O
```

Values from the calculation:
**Total magnetic moment**: 0.0 μB per cell

---

Taking the most stable structure as the zero point, the relative energies in eV/atom are model 1 0.000; model 2 0.627.

---

Model 1:
This record from the Alexandria database describes a relaxed SmCu2O4 crystal. The functional is PBE-GGA.

Geometry as POSCAR:
```
SmCu2O4
1.0
-2.8938 2.8938 4.8580
2.8938 -2.8938 4.8580
2.8938 2.8938 -4.8580
Sm Cu O
2 4 8
Direct
0.3750 0.1250 0.2500 Sm
0.6250 0.8750 0.7500 Sm
0.0000 0.0000 0.5000 Cu
0.0000 0.5000 0.0000 Cu
0.0000 0.5000 0.5000 Cu
0.5000 0.5000 0.0000 Cu
0.0305 0.1405 0.3185 O
0.2119 0.5305 0.3900 O
0.3220 0.7119 0.1815 O
0.3595 0.1780 0.8900 O
0.6405 0.8220 0.1100 O
0.6780 0.2881 0.8185 O
0.7881 0.4695 0.6100 O
0.9695 0.8595 0.6815 O
```

Values from the calculation:
**Total magnetic moment**: 1.8 μB per cell

---

Model 2:
This record from the Alexandria database describes a relaxed SmCu2O4 crystal. The functional is PBE-GGA.

Geometry as POSCAR:
```
SmCu2O4
1.0
3.1530 -5.9625 0.0000
3.1530 5.9625 0.0000
-3.1352 0.0000 4.6807
Sm Cu O
2 4 8
Direct
0.1241 0.8759 0.7500 Sm
0.8759 0.1241 0.2500 Sm
0.0000 0.5000 0.0000 Cu
0.5000 0.0000 0.5000 Cu
0.5000 0.5000 0.0000 Cu
0.5000 0.5000 0.5000 Cu
0.1643 0.6441 0.3986 O
0.2449 0.2664 0.1022 O
0.2664 0.2449 0.6022 O
0.3559 0.8357 0.1014 O
0.6441 0.1643 0.8986 O
0.7336 0.7551 0.3978 O
0.7551 0.7336 0.8978 O
0.8357 0.3559 0.6014 O
```

Values from the calculation:
**Total magnetic moment**: 0.7 μB per cell

---

Taking the most stable structure as the zero point, the relative energies in eV/atom are model 1 0.000; model 2 0.095.

---

Model 1:
This record from the Alexandria database describes a relaxed Cu3SnO crystal. The functional is PBE-GGA.

Geometry as POSCAR:
```
Cu3SnO
1.0
4.8332 0.0000 0.0000
0.0000 4.8332 0.0000
0.0000 0.0000 4.8332
Cu Sn O
3 1 1
Direct
0.0000 0.0000 0.5000 Cu
0.0000 0.5000 0.0000 Cu
0.5000 0.0000 0.0000 Cu
0.0000 0.0000 0.0000 Sn
0.5000 0.5000 0.5000 O
```

Values from the calculation:
**Total magnetic moment**: 0.0 μB per cell

---

Model 2:
This record from the Alexandria database describes a relaxed Cu3SnO crystal. The functional is PBE-GGA.

Geometry as POSCAR:
```
Cu3SnO
1.0
4.1471 0.0000 0.0000
0.0000 4.1471 0.0000
0.0000 0.0000 4.1471
Cu Sn O
3 1 1
Direct
0.0000 0.0000 0.5000 Cu
0.0000 0.5000 0.0000 Cu
0.5000 0.0000 0.0000 Cu
0.5000 0.5000 0.5000 Sn
0.0000 0.0000 0.0000 O
```

Values from the calculation:
**Total magnetic moment**: 0.0 μB per cell

---

Taking the most stable structure as the zero point, the relative energies in eV/atom are model 1 1.285; model 2 0.000.